Record 1
{"formula": "Sr3Y", "functional": "PBE", "state": "relaxed", "cell": [[12.4461, 0.0000, 0.0000], [0.0000, 9.7407, 0.0000], [0.0000, 0.0000, 6.1123]], "species": ["Sr", "Sr", "Sr", "Sr", "Sr", "Sr", "Sr", "Sr", "Sr", "Sr", "Sr", "Sr", "Y", "Y", "Y", "Y"], "frac_coords": [[0.0000, 0.1575, 0.2500], [0.0000, 0.8425, 0.7500], [0.2417, 0.1246, 0.7500], [0.2417, 0.8754, 0.2500], [0.2583, 0.3754, 0.2500], [0.2583, 0.6246, 0.7500], [0.5000, 0.3425, 0.7500], [0.5000, 0.6575, 0.2500], [0.7417, 0.3754, 0.2500], [0.7417, 0.6246, 0.7500], [0.7583, 0.1246, 0.7500], [0.7583, 0.8754, 0.2500], [0.0000, 0.4105, 0.7500], [0.0000, 0.5895, 0.2500], [0.5000, 0.0895, 0.2500], [0.5000, 0.9105, 0.7500]], "sg": "Cmcm, No. 63", "final_energy_ev_per_atom": -2.72, "polymorph_energy_ev_per_atom": 0.015, "ef_ev_per_fu": 0.61, "n_ef_per_ev_cell": 18.77}



Record 2
{"formula": "SrY", "functional": "PBE", "state": "relaxed", "cell": [[3.8203, 0.0000, 0.0000], [-1.9102, 3.3085, 0.0000], [0.0000, 0.0000, 12.8003]], "species": ["Sr", "Sr", "Y", "Y"], "frac_coords": [[0.0000, 0.0000, 0.0000], [0.0000, 0.0000, 0.5000], [0.3333, 0.6667, 0.2500], [0.6667, 0.3333, 0.7500]], "sg": "P6_3/mmc, No. 194", "final_energy_ev_per_atom": -3.83, "polymorph_energy_ev_per_atom": 0.128, "ef_ev_per_fu": 0.48, "n_ef_per_ev_cell": 6.83}



Record 3
{"formula": "SrY", "functional": "PBE", "state": "relaxed", "cell": [[7.0380, 0.0000, 0.0000], [0.0000, 7.0380, 0.0000], [0.0000, 0.0000, 7.0380]], "species": ["Sr", "Sr", "Sr", "Sr", "Y", "Y", "Y", "Y"], "frac_coords": [[0.0000, 0.0000, 0.0000], [0.0000, 0.5000, 0.5000], [0.5000, 0.0000, 0.5000], [0.5000, 0.5000, 0.0000], [0.0000, 0.0000, 0.5000], [0.0000, 0.5000, 0.0000], [0.5000, 0.0000, 0.0000], [0.5000, 0.5000, 0.5000]], "sg": "Fm-3m, No. 225", "final_energy_ev_per_atom": -3.22, "polymorph_energy_ev_per_atom": 0.743, "ef_ev_per_fu": 1.71, "n_ef_per_ev_cell": 15.51}



Record 4
{"formula": "SrY", "functional": "PBE", "state": "relaxed", "cell": [[3.8116, 0.0000, 0.0000], [0.0000, 6.1788, 0.0000], [-0.0240, 0.0000, 6.9468]], "species": ["Sr", "Sr", "Y", "Y"], "frac_coords": [[0.0030, 0.2500, 0.3332], [0.9970, 0.7500, 0.6668], [0.4992, 0.7500, 0.1414], [0.5008, 0.2500, 0.8586]], "sg": "P2_1/m, No. 11", "final_energy_ev_per_atom": -3.84, "polymorph_energy_ev_per_atom": 0.125, "ef_ev_per_fu": 0.47, "n_ef_per_ev_cell": 7.54}



Record 5
{"formula": "Sr5Y", "functional": "PBE", "state": "relaxed", "cell": [[15.1903, 0.0000, 0.0000], [0.0000, 4.1544, 0.0000], [-2.8271, 0.0000, 9.3562]], "species": ["Sr", "Sr", "Sr", "Sr", "Sr", "Sr", "Sr", "Sr", "Sr", "Sr", "Y", "Y"], "frac_coords": [[0.0000, 0.0000, 0.0000], [0.0385, 0.0000, 0.6118], [0.1592, 0.5000, 0.3359], [0.3147, 0.0000, 0.6911], [0.3661, 0.0000, 0.2446], [0.5000, 0.5000, 0.0000], [0.5385, 0.5000, 0.6118], [0.6592, 0.0000, 0.3359], [0.8147, 0.5000, 0.6911], [0.8661, 0.5000, 0.2446], [0.2021, 0.5000, 0.9325], [0.7021, 0.0000, 0.9325]], "sg": "Cm, No. 8", "final_energy_ev_per_atom": -2.36, "polymorph_energy_ev_per_atom": 0.000, "ef_ev_per_fu": 0.70, "n_ef_per_ev_cell": 17.35}



Record 6
{"formula": "SrY3", "functional": "PBE", "state": "relaxed", "cell": [[3.7329, 0.0000, 0.0000], [-1.8664, 3.2328, 0.0000], [0.0000, 0.0000, 12.0367]], "species": ["Sr", "Y", "Y", "Y"], "frac_coords": [[0.0000, 0.0000, 0.0000], [0.0000, 0.0000, 0.5000], [0.6667, 0.3333, 0.2700], [0.6667, 0.3333, 0.7300]], "sg": "P-6m2, No. 187", "final_energy_ev_per_atom": -5.16, "ef_ev_per_fu": 0.41, "n_ef_per_ev_cell": 7.09}



Record 7
{"formula": "SrY", "functional": "PBE", "state": "relaxed", "cell": [[4.3076, 0.0000, 0.0000], [0.0000, 4.3076, 0.0000], [0.0000, 0.0000, 4.3222]], "species": ["Sr", "Y"], "frac_coords": [[0.0000, 0.0000, 0.0000], [0.5000, 0.5000, 0.5000]], "sg": "P4/mmm, No. 123", "final_energy_ev_per_atom": -3.78, "polymorph_energy_ev_per_atom": 0.184, "ef_ev_per_fu": 0.59, "n_ef_per_ev_cell": 3.24}



Record 8
{"formula": "SrY3", "functional": "PBE", "state": "relaxed", "cell": [[6.0213, 0.0000, 0.0000], [0.0000, 6.0213, 0.0000], [0.0000, 0.0000, 3.9604]], "species": ["Sr", "Y", "Y", "Y"], "frac_coords": [[0.0000, 0.0000, 0.0000], [0.0000, 0.5000, 0.5000], [0.5000, 0.0000, 0.5000], [0.5000, 0.5000, 0.0000]], "sg": "P4/mmm, No. 123", "final_energy_ev_per_atom": -5.03, "ef_ev_per_fu": 0.97, "n_ef_per_ev_cell": 8.46}